[1]
Entry from Alexandria: a relaxed PmThVN4 crystal (PBE). Values from VASP.

```
&SYSTEM
  ibrav = 0, nat = 14, ntyp = 4
/
ATOMIC_SPECIES
Pm 145.00 Pm.upf
Th 232.04 Th.upf
V 50.94 V.upf
N 14.01 N.upf
CELL_PARAMETERS angstrom
2.7140 -6.3368 0.0000
2.7140 6.3368 0.0000
0.0000 0.0000 5.3773
ATOMIC_POSITIONS crystal
Pm 0.1093 0.8907 0.7500
Pm 0.8907 0.1093 0.2500
Th 0.3919 0.6081 0.7500
Th 0.6081 0.3919 0.2500
V 0.2334 0.7667 0.2500
V 0.7667 0.2334 0.7500
N 0.0000 0.5000 0.0000
N 0.0000 0.5000 0.5000
N 0.0851 0.9149 0.2500
N 0.4274 0.5726 0.2500
N 0.5000 0.0000 0.0000
N 0.5000 0.0000 0.5000
N 0.5726 0.4274 0.7500
N 0.9149 0.0851 0.7500
```

Values from the calculation:
- Final energy: -0.335 Ha/atom
- Formation energy (no corrections): -1.32 eV per atom

---

[2]
Entry from Alexandria: a relaxed PmTh2VN4 crystal (PBE). Values from VASP.

```
&SYSTEM
  ibrav = 0, nat = 16, ntyp = 4
/
ATOMIC_SPECIES
Pm 145.00 Pm.upf
Th 232.04 Th.upf
V 50.94 V.upf
N 14.01 N.upf
CELL_PARAMETERS angstrom
1.7482 -5.9742 0.0000
1.7482 5.9742 0.0000
0.0000 0.0000 12.2615
ATOMIC_POSITIONS crystal
Pm 0.0874 0.9126 0.7500
Pm 0.9126 0.0874 0.2500
Th 0.3669 0.6331 0.5491
Th 0.3669 0.6331 0.9509
Th 0.6331 0.3669 0.0491
Th 0.6331 0.3669 0.4509
V 0.1760 0.8240 0.2500
V 0.8240 0.1760 0.7500
N 0.0000 0.0000 0.0000
N 0.0000 0.0000 0.5000
N 0.2722 0.7278 0.1310
N 0.2722 0.7278 0.3690
N 0.4269 0.5731 0.7500
N 0.5731 0.4269 0.2500
N 0.7278 0.2722 0.6310
N 0.7278 0.2722 0.8690
```

Values from the calculation:
- Final energy: -0.329 Ha/atom
- Formation energy (no corrections): -1.21 eV per atom

---

[3]
Entry from Alexandria: a relaxed PmTh2WN5 crystal (PBE). Values from VASP.

```
&SYSTEM
  ibrav = 0, nat = 18, ntyp = 4
/
ATOMIC_SPECIES
Pm 145.00 Pm.upf
Th 232.04 Th.upf
W 183.84 W.upf
N 14.01 N.upf
CELL_PARAMETERS angstrom
6.8588 0.0000 0.0000
0.0000 6.8588 0.0000
0.0000 0.0000 5.9292
ATOMIC_POSITIONS crystal
Pm 0.0000 0.0000 0.0000
Pm 0.5000 0.5000 0.0000
Th 0.1717 0.3283 0.5000
Th 0.3283 0.8283 0.5000
Th 0.6717 0.1717 0.5000
Th 0.8283 0.6717 0.5000
W 0.0000 0.5000 0.0000
W 0.5000 0.0000 0.0000
N 0.0000 0.0000 0.5000
N 0.1430 0.6430 0.2349
N 0.1430 0.6430 0.7651
N 0.3570 0.1430 0.2349
N 0.3570 0.1430 0.7651
N 0.5000 0.5000 0.5000
N 0.6430 0.8570 0.2349
N 0.6430 0.8570 0.7651
N 0.8570 0.3570 0.2349
N 0.8570 0.3570 0.7651
```

Values from the calculation:
- Final energy: -0.344 Ha/atom
- Formation energy (no corrections): -1.12 eV per atom

---

[4]
Entry from Alexandria: a relaxed PmY2ThN4 crystal (PBE). Values from VASP.

```
&SYSTEM
  ibrav = 0, nat = 8, ntyp = 4
/
ATOMIC_SPECIES
Pm 145.00 Pm.upf
Y 88.91 Y.upf
Th 232.04 Th.upf
N 14.01 N.upf
CELL_PARAMETERS angstrom
6.1587 0.0000 0.0000
0.0000 3.5690 0.0000
-2.0433 0.0000 5.8163
ATOMIC_POSITIONS crystal
Pm 0.0000 0.0000 0.0000
Y 0.5000 0.0000 0.5000
Y 0.5000 0.5000 0.0000
Th 0.0000 0.5000 0.5000
N 0.2538 0.0000 0.7471
N 0.2546 0.5000 0.2573
N 0.7454 0.5000 0.7427
N 0.7462 0.0000 0.2529
```

Values from the calculation:
- Final energy: -0.328 Ha/atom
- Formation energy (no corrections): -1.61 eV per atom

---

[5]
Entry from Alexandria: a relaxed PmY3Th2N6 crystal (PBE). Values from VASP.

```
&SYSTEM
  ibrav = 0, nat = 12, ntyp = 4
/
ATOMIC_SPECIES
Pm 145.00 Pm.upf
Y 88.91 Y.upf
Th 232.04 Th.upf
N 14.01 N.upf
CELL_PARAMETERS angstrom
7.7606 -1.7872 0.0000
7.7606 1.7872 0.0000
-1.6225 0.0000 6.9451
ATOMIC_POSITIONS crystal
Pm 0.0000 0.0000 0.0000
Y 0.0000 0.0000 0.5000
Y 0.3353 0.3353 0.1657
Y 0.6647 0.6647 0.8343
Th 0.3348 0.3348 0.6704
Th 0.6652 0.6652 0.3296
N 0.1660 0.1660 0.5840
N 0.1688 0.1688 0.0841
N 0.4989 0.4989 0.7426
N 0.5011 0.5011 0.2574
N 0.8312 0.8312 0.9159
N 0.8340 0.8340 0.4160
```

Values from the calculation:
- Final energy: -0.332 Ha/atom
- Formation energy (no corrections): -1.62 eV per atom

---

[6]
Entry from Alexandria: a relaxed Pm3YTh2N6 crystal (PBE). Values from VASP.

```
&SYSTEM
  ibrav = 0, nat = 12, ntyp = 4
/
ATOMIC_SPECIES
Pm 145.00 Pm.upf
Y 88.91 Y.upf
Th 232.04 Th.upf
N 14.01 N.upf
CELL_PARAMETERS angstrom
3.1290 -5.4194 0.0000
3.1290 5.4194 0.0000
-2.0812 0.0000 5.8938
ATOMIC_POSITIONS crystal
Pm 0.0000 0.0000 0.0000
Pm 0.3354 0.6646 0.0000
Pm 0.6646 0.3354 0.0000
Y 0.5000 0.5000 0.5000
Th 0.1670 0.8330 0.5000
Th 0.8330 0.1670 0.5000
N 0.0872 0.4205 0.2614
N 0.2468 0.2468 0.7408
N 0.4205 0.0872 0.2614
N 0.5795 0.9128 0.7386
N 0.7532 0.7532 0.2592
N 0.9128 0.5795 0.7386
```

Values from the calculation:
- Final energy: -0.319 Ha/atom
- Formation energy (no corrections): -1.56 eV per atom

---

[7]
Entry from Alexandria: a relaxed Pm2ThZrN4 crystal (PBE). Values from VASP.

```
&SYSTEM
  ibrav = 0, nat = 8, ntyp = 4
/
ATOMIC_SPECIES
Pm 145.00 Pm.upf
Th 232.04 Th.upf
Zr 91.22 Zr.upf
N 14.01 N.upf
CELL_PARAMETERS angstrom
6.1194 0.0000 0.0000
0.0000 3.5292 0.0000
-1.9997 0.0000 5.7864
ATOMIC_POSITIONS crystal
Pm 0.0000 0.0000 0.0000
Pm 0.5000 0.5000 0.0000
Th 0.0000 0.5000 0.5000
Zr 0.5000 0.0000 0.5000
N 0.2610 0.0000 0.7297
N 0.2705 0.5000 0.2760
N 0.7295 0.5000 0.7240
N 0.7390 0.0000 0.2703
```

Values from the calculation:
- Final energy: -0.326 Ha/atom
- Formation energy (no corrections): -1.53 eV per atom

---

[8]
Entry from Alexandria: a relaxed Pm3Th2ZrN6 crystal (PBE). Values from VASP.

```
&SYSTEM
  ibrav = 0, nat = 12, ntyp = 4
/
ATOMIC_SPECIES
Pm 145.00 Pm.upf
Th 232.04 Th.upf
Zr 91.22 Zr.upf
N 14.01 N.upf
CELL_PARAMETERS angstrom
3.0953 -5.3560 0.0000
3.0953 5.3560 0.0000
-2.0580 0.0000 5.8287
ATOMIC_POSITIONS crystal
Pm 0.0000 0.0000 0.0000
Pm 0.3362 0.6638 0.0000
Pm 0.6638 0.3362 0.0000
Th 0.1671 0.8329 0.5000
Th 0.8329 0.1671 0.5000
Zr 0.5000 0.5000 0.5000
N 0.1061 0.4237 0.2719
N 0.2594 0.2594 0.7337
N 0.4237 0.1061 0.2719
N 0.5763 0.8939 0.7281
N 0.7406 0.7406 0.2663
N 0.8939 0.5763 0.7281
```

Values from the calculation:
- Final energy: -0.325 Ha/atom
- Formation energy (no corrections): -1.53 eV per atom

---

[9]
Entry from Alexandria: a relaxed PmTiN crystal (PBE). Values from VASP.

```
&SYSTEM
  ibrav = 0, nat = 6, ntyp = 3
/
ATOMIC_SPECIES
Pm 145.00 Pm.upf
Ti 47.87 Ti.upf
N 14.01 N.upf
CELL_PARAMETERS angstrom
1.6256 0.9386 11.6809
-1.6256 0.9386 11.6809
0.0000 -1.8771 11.6809
ATOMIC_POSITIONS crystal
Pm 0.2199 0.2199 0.2199
Pm 0.7801 0.7801 0.7801
Ti 0.0396 0.0396 0.0396
Ti 0.9604 0.9604 0.9604
N 0.3981 0.3981 0.3981
N 0.6019 0.6019 0.6019
```

Values from the calculation:
- Final energy: -0.288 Ha/atom
- Formation energy (no corrections): -0.85 eV per atom

---

[10]
Entry from Alexandria: a relaxed Pm2TiN3 crystal (PBE). Values from VASP.

```
&SYSTEM
  ibrav = 0, nat = 24, ntyp = 3
/
ATOMIC_SPECIES
Pm 145.00 Pm.upf
Ti 47.87 Ti.upf
N 14.01 N.upf
CELL_PARAMETERS angstrom
2.8088 -5.4583 0.0000
2.8088 5.4583 0.0000
-0.6535 0.0000 11.8498
ATOMIC_POSITIONS crystal
Pm 0.0289 0.4340 0.8524
Pm 0.1101 0.3368 0.4255
Pm 0.3368 0.1101 0.9255
Pm 0.4340 0.0289 0.3524
Pm 0.5660 0.9711 0.6476
Pm 0.6632 0.8899 0.0745
Pm 0.8899 0.6632 0.5745
Pm 0.9711 0.5660 0.1476
Ti 0.2826 0.2854 0.1670
Ti 0.2854 0.2826 0.6670
Ti 0.7146 0.7174 0.3330
Ti 0.7174 0.7146 0.8330
N 0.0111 0.9889 0.2500
N 0.1099 0.3079 0.0373
N 0.1584 0.5011 0.6245
N 0.3079 0.1099 0.5373
N 0.3772 0.6228 0.2500
N 0.4989 0.8416 0.8755
N 0.5011 0.1584 0.1245
N 0.6228 0.3772 0.7500
N 0.6921 0.8901 0.4627
N 0.8416 0.4989 0.3755
N 0.8901 0.6921 0.9627
N 0.9889 0.0111 0.7500
```

Values from the calculation:
- Final energy: -0.312 Ha/atom
- Formation energy (no corrections): -1.44 eV per atom

---

[11]
Entry from Alexandria: a relaxed PmTi4N6 crystal (PBE). Values from VASP.

```
&SYSTEM
  ibrav = 0, nat = 22, ntyp = 3
/
ATOMIC_SPECIES
Pm 145.00 Pm.upf
Ti 47.87 Ti.upf
N 14.01 N.upf
CELL_PARAMETERS angstrom
1.5306 -5.0193 0.0000
1.5306 5.0193 0.0000
0.0000 0.0000 15.5809
ATOMIC_POSITIONS crystal
Pm 0.1528 0.8472 0.7500
Pm 0.8472 0.1528 0.2500
Ti 0.1058 0.8942 0.1316
Ti 0.1058 0.8942 0.3684
Ti 0.3703 0.6297 0.0479
Ti 0.3703 0.6297 0.4521
Ti 0.6297 0.3703 0.5479
Ti 0.6297 0.3703 0.9521
Ti 0.8942 0.1058 0.6316
Ti 0.8942 0.1058 0.8684
N 0.0000 0.0000 0.0000
N 0.0000 0.0000 0.5000
N 0.1616 0.8384 0.2500
N 0.2672 0.7328 0.5840
N 0.2672 0.7328 0.9160
N 0.4670 0.5330 0.1530
N 0.4670 0.5330 0.3470
N 0.5330 0.4670 0.6530
N 0.5330 0.4670 0.8470
N 0.7328 0.2672 0.0840
N 0.7328 0.2672 0.4160
N 0.8384 0.1616 0.7500
```

Values from the calculation:
- Final energy: -0.344 Ha/atom
- Formation energy (no corrections): -1.52 eV per atom

---

[12]
Entry from Alexandria: a relaxed PmTi2N crystal (PBE). Values from VASP.

```
&SYSTEM
  ibrav = 0, nat = 4, ntyp = 3
/
ATOMIC_SPECIES
Pm 145.00 Pm.upf
Ti 47.87 Ti.upf
N 14.01 N.upf
CELL_PARAMETERS angstrom
1.5538 0.8971 8.3559
-1.5538 0.8971 8.3559
0.0000 -1.7942 8.3559
ATOMIC_POSITIONS crystal
Pm 0.0000 0.0000 0.0000
Ti 0.1235 0.1235 0.1235
Ti 0.8765 0.8765 0.8765
N 0.5000 0.5000 0.5000
```

Values from the calculation:
- Final energy: -0.289 Ha/atom
- Formation energy (no corrections): -0.65 eV per atom